{
  "formula": "BaGe2Au",
  "functional": "PBE-GGA",
  "state": "optimized geometry",
  "space_group": "Cmmm (65)",
  "crystal_system": "orthorhombic",
  "lattice_angstrom": [[-1.943, -4.493, 1.034], [2.771, -0.163, 4.495], [-4.865, 2.042, -0.268]],
  "species": ["Ge", "Ge", "Ba", "Au"],
  "frac_coords": [[0.500, 0.500, 0.000], [0.500, 0.000, 0.500], [0.000, 0.000, 0.000], [0.500, 0.500, 0.500]]
}


{
  "formula": "Ba4GeAu3",
  "functional": "PBE-GGA",
  "state": "optimized geometry",
  "space_group": "Pmm2 (25)",
  "crystal_system": "orthorhombic",
  "lattice_angstrom": [[-2.847, -3.177, -2.165], [3.398, -3.389, 0.506], [-4.654, -3.077, 10.636]],
  "species": ["Au", "Au", "Au", "Ba", "Ba", "Ba", "Ba", "Ge"],
  "frac_coords": [[0.500, 0.000, 0.937], [0.000, 0.500, 0.575], [0.000, 0.000, 0.426], [0.500, 0.500, 0.357], [0.000, 0.500, 0.864], [0.000, 0.000, 0.137], [0.500, 0.000, 0.640], [0.500, 0.500, 0.063]]
}


{
  "formula": "BaGe2Au",
  "functional": "PBE-GGA",
  "state": "optimized geometry",
  "space_group": "P2_1/m (11)",
  "crystal_system": "monoclinic",
  "lattice_angstrom": [[-2.617, -0.438, 3.705], [-3.350, -2.248, -2.631], [5.696, -7.047, 3.190]],
  "species": ["Ge", "Ge", "Ge", "Ge", "Au", "Au", "Ba", "Ba"],
  "frac_coords": [[0.250, 0.251, 0.500], [0.750, 0.749, 0.500], [0.750, 0.462, 0.929], [0.250, 0.538, 0.071], [0.250, 0.677, 0.354], [0.750, 0.323, 0.646], [0.750, 0.107, 0.214], [0.250, 0.893, 0.786]]
}


{
  "formula": "Ba3Ge3Au8",
  "functional": "PBE-GGA",
  "state": "optimized geometry",
  "space_group": "Immm (71)",
  "e_above_lowest_polymorph_kj_per_mol_atoms": 2.5,
  "crystal_system": "orthorhombic",
  "lattice_angstrom": [[-4.382, -1.930, -1.416], [-3.842, -3.114, 7.329], [-6.240, 5.473, 3.046]],
  "species": ["Au", "Au", "Au", "Au", "Au", "Au", "Au", "Au", "Ge", "Ge", "Ge", "Ba", "Ba", "Ba"],
  "frac_coords": [[0.630, 0.074, 0.666], [0.370, 0.334, 0.926], [0.846, 0.508, 0.800], [0.370, 0.926, 0.334], [0.154, 0.200, 0.492], [0.630, 0.666, 0.074], [0.846, 0.800, 0.508], [0.154, 0.492, 0.200], [0.500, 0.000, 0.000], [0.000, 0.197, 0.803], [0.000, 0.803, 0.197], [0.208, 0.792, 0.792], [0.500, 0.500, 0.500], [0.792, 0.208, 0.208]]
}


| no. | ΔE_f (eV/atom) |
| --- | --- |
| 1 | -0.34 |
| 2 | -0.64 |
| 3 | -0.52 |
| 4 | -0.44 |